First-principles (GGA-PBE) data for a geometry-optimized Pm5SmDy6 structure, as listed in Alexandria.

Structure (CIF):
```
data_Pm5SmDy6
_cell_length_a 5.090
_cell_length_b 10.126
_cell_length_c 15.265
_cell_angle_alpha 90.00
_cell_angle_beta 90.00
_cell_angle_gamma 90.00
_space_group_name_H-M_alt 'I m m m'
_space_group_IT_number 71
_space_group_name_Hall '-I 2 2'
loop_
_atom_site_label
_atom_site_type_symbol
_atom_site_fract_x
_atom_site_fract_y
_atom_site_fract_z
_atom_site_occupancy
Pm1 Pm 0.000 0.000 0.000 1
Pm2 Pm 0.000 0.000 0.334 1
Pm3 Pm 0.000 0.500 0.333 1
Sm1 Sm 0.000 0.500 0.000 1
Dy1 Dy 0.000 0.250 0.167 1
Dy2 Dy 0.000 0.250 0.500 1
```

## Properties
The value obtained for the energy of formation is 0.01 eV per atom. The density of states at the Fermi level comes out at 31.19 states/eV per cell.